No. 1
# PBE-GGA TlHg2Pb8, optimized geometry
data_TlHg2Pb8
_chemical_formula_sum 'Tl1 Hg2 Pb8'
_cell_length_a 5.356
_cell_length_b 8.719
_cell_length_c 8.719
_cell_angle_alpha 72.39
_cell_angle_beta 80.25
_cell_angle_gamma 80.25
_symmetry_space_group_name_H-M 'P 1'
_symmetry_Int_Tables_number 1
_symmetry_space_group_name_Hall 'P 1'
loop_
_atom_site_label
_atom_site_type_symbol
_atom_site_fract_x
_atom_site_fract_y
_atom_site_fract_z
Pb1 Pb 0.100 0.742 0.742
Pb2 Pb 0.779 0.650 0.187
Hg1 Hg 0.471 0.141 0.141
Pb3 Pb 0.221 0.813 0.350
Tl1 Tl 0.000 0.000 0.000
Pb4 Pb 0.296 0.410 0.410
Pb5 Pb 0.221 0.350 0.813
Hg2 Hg 0.529 0.859 0.859
Pb6 Pb 0.779 0.187 0.650
Pb7 Pb 0.704 0.590 0.590
Pb8 Pb 0.900 0.258 0.258
# * density: 9.9 g cm⁻³
# * SG: C2/m, No. 12
# * energy relative to the lowest polymorph listed for this composition: 83 meV/atom
# * calculated formation energy: 116.0 meV per atom

No. 2
# PBE-GGA Tl3Hg8Pb, optimized geometry
data_Tl3Hg8Pb
_chemical_formula_sum 'Tl3 Hg8 Pb1'
_cell_length_a 8.653
_cell_length_b 8.376
_cell_length_c 8.660
_cell_angle_alpha 52.58
_cell_angle_beta 100.11
_cell_angle_gamma 127.39
_symmetry_space_group_name_H-M 'P 1'
_symmetry_Int_Tables_number 1
_symmetry_space_group_name_Hall 'P 1'
loop_
_atom_site_label
_atom_site_type_symbol
_atom_site_fract_x
_atom_site_fract_y
_atom_site_fract_z
Hg1 Hg 0.331 0.000 0.069
Hg2 Hg 0.071 0.000 0.333
Hg3 Hg 0.675 0.497 0.422
Tl1 Tl 0.312 0.502 0.310
Hg4 Hg 0.917 0.495 0.179
Tl2 Tl 0.810 0.498 0.812
Pb1 Pb 0.941 0.000 0.943
Tl3 Tl 0.435 0.000 0.434
Hg5 Hg 0.830 0.000 0.579
Hg6 Hg 0.179 0.503 0.918
Hg7 Hg 0.422 0.505 0.674
Hg8 Hg 0.578 0.000 0.827
# * density: 10.7 g cm⁻³
# * SG: Cm, No. 8
# * energy relative to the lowest polymorph listed for this composition: 11 meV/atom
# * calculated formation energy: 43.6 meV per atom

No. 3
# PBE-GGA Tl2Hg5Pb, optimized geometry
data_Tl2Hg5Pb
_chemical_formula_sum 'Tl4 Hg10 Pb2'
_cell_length_a 8.642
_cell_length_b 8.642
_cell_length_c 8.664
_cell_angle_alpha 119.91
_cell_angle_beta 119.91
_cell_angle_gamma 90.00
_symmetry_space_group_name_H-M 'P 1'
_symmetry_Int_Tables_number 1
_symmetry_space_group_name_Hall 'P 1'
loop_
_atom_site_label
_atom_site_type_symbol
_atom_site_fract_x
_atom_site_fract_y
_atom_site_fract_z
Tl1 Tl 0.851 0.649 0.000
Hg1 Hg 0.500 0.500 0.000
Hg2 Hg 0.523 0.321 0.344
Tl2 Tl 0.649 0.149 0.000
Hg3 Hg 0.321 0.821 0.344
Hg4 Hg 0.679 0.179 0.656
Hg5 Hg 0.179 0.977 0.656
Hg6 Hg 0.023 0.523 0.344
Pb1 Pb 0.750 0.750 0.500
Hg7 Hg 0.000 0.000 0.000
Tl3 Tl 0.351 0.851 0.000
Tl4 Tl 0.149 0.351 0.000
Hg8 Hg 0.821 0.023 0.344
Hg9 Hg 0.477 0.679 0.656
Hg10 Hg 0.977 0.477 0.656
Pb2 Pb 0.250 0.250 0.500
# * density: 11.7 g cm⁻³
# * SG: I4/mcm, No. 140
# * energy relative to the lowest polymorph listed for this composition: 0 meV/atom
# * calculated formation energy: 13.2 meV per atom

No. 4
# PBE-GGA Tl3HgPb12, optimized geometry
data_Tl3HgPb12
_chemical_formula_sum 'Tl3 Hg1 Pb12'
_cell_length_a 4.937
_cell_length_b 4.937
_cell_length_c 20.289
_cell_angle_alpha 90.00
_cell_angle_beta 90.00
_cell_angle_gamma 90.00
_symmetry_space_group_name_H-M 'P 1'
_symmetry_Int_Tables_number 1
_symmetry_space_group_name_Hall 'P 1'
loop_
_atom_site_label
_atom_site_type_symbol
_atom_site_fract_x
_atom_site_fract_y
_atom_site_fract_z
Pb1 Pb 0.000 0.500 0.879
Pb2 Pb 0.500 0.500 0.247
Tl1 Tl 0.000 0.000 0.753
Pb3 Pb 0.500 0.500 0.000
Pb4 Pb 0.500 0.000 0.121
Pb5 Pb 0.000 0.500 0.121
Pb6 Pb 0.500 0.000 0.373
Pb7 Pb 0.500 0.500 0.500
Hg1 Hg 0.000 0.000 0.000
Pb8 Pb 0.000 0.500 0.373
Tl2 Tl 0.000 0.000 0.500
Tl3 Tl 0.000 0.000 0.247
Pb9 Pb 0.500 0.000 0.627
Pb10 Pb 0.500 0.500 0.753
Pb11 Pb 0.500 0.000 0.879
Pb12 Pb 0.000 0.500 0.627
# * density: 11.1 g cm⁻³
# * SG: P4/mmm, No. 123
# * calculated formation energy: 3.1 meV per atom

No. 5
# PBE-GGA TlHg2Pb, optimized geometry
data_TlHg2Pb
_chemical_formula_sum 'Tl2 Hg4 Pb2'
_cell_length_a 4.644
_cell_length_b 4.644
_cell_length_c 11.804
_cell_angle_alpha 78.66
_cell_angle_beta 78.66
_cell_angle_gamma 90.00
_symmetry_space_group_name_H-M 'P 1'
_symmetry_Int_Tables_number 1
_symmetry_space_group_name_Hall 'P 1'
loop_
_atom_site_label
_atom_site_type_symbol
_atom_site_fract_x
_atom_site_fract_y
_atom_site_fract_z
Pb1 Pb 0.000 0.000 0.000
Tl1 Tl 0.500 0.500 0.000
Hg1 Hg 0.375 0.371 0.750
Hg2 Hg 0.875 0.879 0.750
Pb2 Pb 0.750 0.250 0.500
Hg3 Hg 0.629 0.125 0.250
Tl2 Tl 0.250 0.750 0.500
Hg4 Hg 0.121 0.625 0.250
# * density: 11.0 g cm⁻³
# * SG: I-42d, No. 122
# * calculated formation energy: 64.2 meV per atom

No. 6
# PBE-GGA Tl12Hg7Pb, optimized geometry
data_Tl12Hg7Pb
_chemical_formula_sum 'Tl12 Hg7 Pb1'
_cell_length_a 8.710
_cell_length_b 8.710
_cell_length_c 8.710
_cell_angle_alpha 103.26
_cell_angle_beta 103.26
_cell_angle_gamma 103.26
_symmetry_space_group_name_H-M 'P 1'
_symmetry_Int_Tables_number 1
_symmetry_space_group_name_Hall 'P 1'
loop_
_atom_site_label
_atom_site_type_symbol
_atom_site_fract_x
_atom_site_fract_y
_atom_site_fract_z
Tl1 Tl 0.813 0.410 0.410
Tl2 Tl 0.590 0.590 0.187
Hg1 Hg 0.500 0.500 0.500
Tl3 Tl 0.410 0.813 0.410
Pb1 Pb 0.000 0.000 0.000
Hg2 Hg 0.156 0.409 0.156
Hg3 Hg 0.591 0.844 0.844
Hg4 Hg 0.156 0.156 0.409
Tl4 Tl 0.262 0.738 0.000
Tl5 Tl 0.187 0.590 0.590
Tl6 Tl 0.410 0.410 0.813
Hg5 Hg 0.409 0.156 0.156
Hg6 Hg 0.844 0.844 0.591
Tl7 Tl 0.590 0.187 0.590
Tl8 Tl 0.738 0.262 0.000
Tl9 Tl 0.262 0.000 0.738
Hg7 Hg 0.844 0.591 0.844
Tl10 Tl 0.738 0.000 0.262
Tl11 Tl 0.000 0.738 0.262
Tl12 Tl 0.000 0.262 0.738
# * density: 11.3 g cm⁻³
# * SG: R-3m, No. 166
# * energy relative to the lowest polymorph listed for this composition: 11 meV/atom
# * calculated formation energy: 21.1 meV per atom